Entry 1:
8
Lattice="-2.1762 2.9584 1.6517 -4.8813 -0.8533 -4.9031 -1.4382 -4.0997 5.4481" Properties=species:S:1:pos:R:3 comment="TbPmEr2P4 PBE optimized geometry" magnetic_moment_mub_per_fu=0.00 dos_at_fermi_per_ev_atom=0.104 energy_ev_per_atom=-6.612 space_group=P2/m e_form_ev_per_atom=-1.594 pbc="T T T"
P -5.8238 -2.2128 1.1990
Pm -3.5287 1.0525 -1.6257
P -2.2611 -3.2510 2.8436
Er -3.1598 -2.4765 0.2725
Tb 0.0000 0.0000 0.0000
P -4.0584 -1.7020 -2.2987
P -2.6720 0.2182 0.9977
Er -1.8072 -0.5707 3.5499

---

Entry 2:
12
Lattice="-3.9393 0.5943 0.8135 -1.1142 -8.0014 0.4495 4.0140 1.8869 7.8975" Properties=species:S:1:pos:R:3 comment="PmEr3Th2P6 PBE optimized geometry" magnetic_moment_mub_per_fu=0.00 dos_at_fermi_per_ev_atom=0.311 energy_ev_per_atom=-7.069 space_group=C2/m e_form_ev_per_atom=-1.591 pbc="T T T"
Pm -1.9697 0.2971 0.4067
P -1.3653 0.4103 3.2508
Er -0.7877 0.4277 6.0350
P 0.3257 -5.9305 5.9097
P -0.8210 -5.9423 0.3651
Th -1.3473 -3.5965 6.2648
Er -0.2518 -5.9479 3.1255
P 0.9117 -1.8301 5.7516
P -0.2185 0.4220 8.7954
Th 0.3078 -1.9238 2.8957
Er -2.5268 -3.7035 0.6315
P -1.9512 -3.6901 3.4089

---

Entry 3:
8
Lattice="-2.9637 2.8321 0.1420 -2.8445 -3.2594 5.6372 2.8191 2.6529 5.9259" Properties=species:S:1:pos:R:3 comment="Pm2ErThP4 PBE optimized geometry" magnetic_moment_mub_per_fu=0.00 dos_at_fermi_per_ev_atom=0.186 energy_ev_per_atom=-6.981 space_group=P2/m e_form_ev_per_atom=-1.590 pbc="T T T"
Pm -0.0723 2.7425 3.0340
P -2.8722 -0.3247 5.7719
P -0.0137 -0.4472 8.6321
Th -2.9041 -0.2136 2.8897
Pm 2.8191 2.6529 5.9259
P -2.9755 2.6729 3.0732
P -0.1170 2.5504 5.9334
Er -0.0127 -0.3032 5.7816

---

Entry 4:
12
Lattice="-1.7120 6.8839 -0.0439 0.4708 -3.4903 6.1577 6.8332 0.4682 -1.6220" Properties=species:S:1:pos:R:3 comment="PmEr2Th3P6 PBE optimized geometry" magnetic_moment_mub_per_fu=0.00 dos_at_fermi_per_ev_atom=0.395 energy_ev_per_atom=-7.290 space_group=C2/m e_form_ev_per_atom=-1.574 pbc="T T T"
P 4.8517 1.2307 0.3510
Th 2.7960 1.9309 2.2460
Th 2.0660 5.4002 0.1720
P 3.8638 4.6544 2.3025
Th 3.5260 -1.5385 4.3199
P 1.7282 -0.7926 2.1894
P 0.7403 2.6311 4.1409
P 0.9881 2.7248 0.0868
Er -0.2558 -0.0369 4.0933
Er -0.9854 3.4305 2.0205
P 4.6039 1.1370 4.4052
Pm 0.0000 0.0000 0.0000

---

Entry 5:
12
Lattice="4.1175 0.0000 0.0000 0.0000 8.2123 0.2831 -2.0587 -2.3765 8.6456" Properties=species:S:1:pos:R:3 comment="Pm3ErTh2P6 PBE optimized geometry" magnetic_moment_mub_per_fu=0.00 dos_at_fermi_per_ev_atom=0.324 energy_ev_per_atom=-7.092 space_group=C2/m e_form_ev_per_atom=-1.583 pbc="T T T"
Pm 2.0587 4.1062 0.1416
Er 2.0587 0.0000 0.0000
P 0.0000 1.9959 0.0695
P 2.0587 3.8399 8.8592
P 2.0587 -0.1009 2.8570
Pm 0.0000 6.0631 3.1076
Th 0.0000 1.9253 2.9385
P 0.0000 5.9367 6.0717
Th 2.0587 3.9105 5.9902
Pm 2.0587 -0.2273 5.8211
P 2.0587 3.9842 3.0590
P 0.0000 1.8516 5.8697

---

Entry 6:
8
Lattice="3.9867 0.0000 0.0000 0.0000 6.9301 0.1378 0.0000 -2.4055 6.4748" Properties=species:S:1:pos:R:3 comment="PmEr2UP4 PBE optimized geometry" magnetic_moment_mub_per_fu=2.11 dos_at_fermi_per_ev_atom=0.884 energy_ev_per_atom=-7.279 space_group=P2/m e_form_ev_per_atom=-1.428 pbc="T T T"
P 0.0000 -0.1388 4.8683
P 0.0000 4.6634 1.7442
P 1.9933 3.4406 4.9579
Pm 1.9933 3.4651 0.0689
Er 1.9933 -1.2028 3.2374
P 1.9933 1.0840 1.6546
Er 0.0000 2.2623 3.3063
U 0.0000 0.0000 0.0000

---

Entry 7:
12
Lattice="-4.1651 -3.8669 -4.0200 1.6694 -2.1826 6.3961 -4.4097 5.1328 1.6401" Properties=species:S:1:pos:R:3 comment="PmY3Er2P6 PBE optimized geometry" magnetic_moment_mub_per_fu=0.00 dos_at_fermi_per_ev_atom=0.139 energy_ev_per_atom=-7.084 space_group=C2/m e_form_ev_per_atom=-1.606 pbc="T T T"
P -4.1823 -0.3873 4.7686
P -2.7230 -0.5294 -0.7524
P -0.7470 0.0410 2.7751
Pm 0.0000 0.0000 0.0000
Er -2.2218 -3.3059 -0.5507
Y -5.4033 -1.0215 -1.4743
P -3.9449 2.3052 1.8370
Y -1.5020 0.1048 5.4905
P -6.1583 -0.9577 1.2411
Y -3.4527 -0.4583 2.0081
P -2.9604 -3.2219 2.1792
Er -0.2739 -2.7436 2.9268

---

Entry 8:
8
Lattice="-2.2449 2.7250 2.0139 -5.7014 -4.0215 -0.9141 3.1994 -1.7968 5.9977" Properties=species:S:1:pos:R:3 comment="Pm2YErP4 PBE optimized geometry" magnetic_moment_mub_per_fu=0.00 dos_at_fermi_per_ev_atom=0.100 energy_ev_per_atom=-6.858 space_group=P2/m e_form_ev_per_atom=-1.587 pbc="T T T"
Pm -1.2510 -2.9091 2.5418
Er -3.9732 -0.6483 0.5499
P -1.7661 -0.0728 2.2315
P 0.9779 -2.3865 4.3193
Y 0.0000 0.0000 0.0000
Pm 0.4772 0.4641 4.0058
P -3.4799 -3.4318 0.7644
P -2.9808 -3.0205 4.8660